HfOsS2N after structural relaxation. Source: Alexandria, functional PBE.

* symmetry: P4/mmm, No. 123
* density: 8.9 g/cm³
* formation energy (no corrections): 15.40 kJ/mol of atoms
* crystal system: tetragonal
* E above lowest polymorph: 0 meV per atom
* magnetic moment: 0.000 μB/f.u.

a b c (Å): 4.7794 4.7794 3.6642
angles (deg): 90.00 90.00 90.00
Fractional coordinates of all 5 atoms:
Hf 0.5000 0.5000 0.5000
Os 0.0000 0.0000 0.0000
S 0.0000 0.5000 0.0000
N 0.0000 0.0000 0.5000
S 0.5000 0.0000 0.0000